The following is a DFT calculation (PBE-GGA) of ScTaRh after structural relaxation.

Properties
ΔH_f (0 K): -0.197 eV per atom
calculated total energy: -8.709 eV/atom
symmetry: No. 156
total magnetic moment: 0.0000 μB/atom
distance to the lowest polymorph of the same formula: 0.2392 eV/atom

Cell lengths 3.062, 3.062, 6.673 Å; angles 90.00, 90.00, 120.00 degrees
Atoms (fractional coordinates):
1 Ta 0.333 0.667 0.688
2 Rh 0.000 0.000 0.991
3 Sc 0.667 0.333 0.321



The following is a DFT calculation (PBE-GGA) of ScTaRh2 after structural relaxation.

Properties
ΔH_f (0 K): -0.252 eV per atom
calculated total energy: -8.474 eV/atom
symmetry: No. 216
total magnetic moment: 0.0000 μB/atom

Cell lengths 4.509, 4.509, 4.509 Å; angles 60.00, 60.00, 60.00 degrees
Atoms (fractional coordinates):
1 Rh 0.000 0.000 0.000
2 Rh 0.750 0.750 0.750
3 Sc 0.500 0.500 0.500
4 Ta 0.250 0.250 0.250



The following is a DFT calculation (PBE-GGA) of Sc4TaRh after structural relaxation.

Properties
ΔH_f (0 K): 0.455 eV per atom
calculated total energy: -6.967 eV/atom
symmetry: No. 216
total magnetic moment: 0.0007 μB/atom

Cell lengths 5.553, 5.553, 5.553 Å; angles 60.00, 60.00, 60.00 degrees
Atoms (fractional coordinates):
1 Rh 0.000 0.000 0.000
2 Sc 0.873 0.376 0.376
3 Ta 0.750 0.750 0.750
4 Sc 0.376 0.376 0.873
5 Sc 0.376 0.873 0.376
6 Sc 0.376 0.376 0.376



The following is a DFT calculation (PBE-GGA) of ScTaRh2 after structural relaxation.

Properties
ΔH_f (0 K): -0.378 eV per atom
calculated total energy: -8.599 eV/atom
symmetry: No. 12
total magnetic moment: 0.0000 μB/atom

Cell lengths 4.450, 4.450, 5.462 Å; angles 78.59, 78.59, 40.84 degrees
Atoms (fractional coordinates):
1 Rh 0.493 0.493 0.518
2 Sc 0.250 0.250 0.250
3 Rh 0.007 0.007 0.982
4 Ta 0.750 0.750 0.750



The following is a DFT calculation (PBE-GGA) of ScTaRh2 after structural relaxation.

Properties
ΔH_f (0 K): -0.534 eV per atom
calculated total energy: -8.756 eV/atom
symmetry: No. 44
total magnetic moment: 0.0000 μB/atom

Cell lengths 5.375, 5.375, 5.375 Å; angles 142.88, 134.02, 60.50 degrees
Atoms (fractional coordinates):
1 Sc 0.499 0.499 0.000
2 Rh 0.746 0.246 0.500
3 Ta 0.241 0.741 0.500
4 Rh 0.014 0.014 0.000



The following is a DFT calculation (PBE-GGA) of ScTaRh after structural relaxation.

Properties
ΔH_f (0 K): -0.138 eV per atom
calculated total energy: -8.650 eV/atom
symmetry: No. 216
total magnetic moment: 0.0000 μB/atom
distance to the lowest polymorph of the same formula: 0.2988 eV/atom

Cell lengths 4.418, 4.418, 4.418 Å; angles 60.00, 60.00, 60.00 degrees
Atoms (fractional coordinates):
1 Sc 0.000 0.000 0.000
2 Rh 0.250 0.250 0.250
3 Ta 0.500 0.500 0.500



In order of appearance, calculated volume = 54.2, 64.8, 121.1, 69.2, 66.7, 61.0 Å³ per cell.
In order of appearance, DOS(E_F) = 2.7, 5.2, 7.7, 3.1, 2.3, 3.1 states/eV per cell.